K3Dy3PtO8 | Alexandria via LeMat-Bulk | GGA-PBE | optimized geometry; ΔE_f (raw) = -2329 meV/atom
1.0
6.789 0.000 0.000
-3.394 5.879 -0.022
0.000 -3.897 6.291
O Pt K Dy
8 1 3 3
direct
0.787 0.037 0.324
0.213 0.427 0.676
0.727 0.455 0.682
0.251 0.037 0.324
0.213 0.963 0.676
0.273 0.545 0.318
0.749 0.963 0.676
0.787 0.573 0.324
0.000 0.000 0.500
0.000 0.000 0.000
0.500 0.500 0.000
0.000 0.500 0.000
0.000 0.500 0.500
0.500 0.500 0.500
0.500 0.000 0.500


Ce5NdS6 | Alexandria via LeMat-Bulk | GGA-PBE | optimized geometry; ΔE_f (raw) = -2042 meV/atom
1.0
6.856 -0.107 -1.293
-3.705 5.770 -1.293
0.134 0.242 6.975
S Ce Nd
6 5 1
direct
0.419 0.084 0.251
0.252 0.252 0.750
0.916 0.581 0.749
0.581 0.916 0.749
0.748 0.748 0.250
0.084 0.419 0.251
0.500 0.500 0.500
0.667 0.333 0.000
0.166 0.834 0.500
0.834 0.166 0.500
0.333 0.667 0.000
0.000 0.000 0.000


AlFeRu3 | Alexandria via LeMat-Bulk | GGA-PBE | optimized geometry; formation energy = 1.5223 eV/atom
1.0
4.339 0.000 0.000
0.000 4.339 0.000
0.000 0.000 4.339
Fe Ru Al
1 3 1
direct
0.500 0.500 0.500
0.000 0.000 0.500
0.000 0.500 0.000
0.500 0.000 0.000
0.000 0.000 0.000


Mn2CrPb | Alexandria via LeMat-Bulk | GGA-PBE | optimized geometry; formation energy = 0.5451 eV/atom
1.0
8.740 0.035 0.021
8.179 3.082 0.021
8.179 1.507 2.689
Cr Mn Pb
1 2 1
direct
0.750 0.750 0.750
0.015 0.015 0.015
0.485 0.485 0.485
0.250 0.250 0.250


La2MgNi9 | Alexandria via LeMat-Bulk | GGA-PBE | optimized geometry; formation energy = -0.3009 eV/atom
1.0
-0.179 -6.879 -5.163
-0.054 -8.591 -0.459
-4.372 -6.999 -2.430
Ni La Mg
9 2 1
direct
0.583 0.583 0.081
0.081 0.583 0.583
0.417 0.916 0.417
0.583 0.081 0.583
0.333 0.333 0.333
0.667 0.667 0.667
0.417 0.417 0.916
0.916 0.417 0.417
0.501 0.501 0.501
0.996 0.996 0.996
0.142 0.142 0.142
0.862 0.862 0.862


KAcAs2Pt2 | Alexandria via LeMat-Bulk | GGA-PBE | optimized geometry; formation energy = -0.8687 eV/atom
1.0
4.321 0.000 0.000
-2.160 3.742 0.000
0.000 0.000 9.636
Ac Pt As K
1 2 2 1
direct
0.000 0.000 0.000
0.667 0.333 0.222
0.333 0.667 0.778
0.333 0.667 0.240
0.667 0.333 0.760
0.000 0.000 0.500


ReCl | Alexandria via LeMat-Bulk | GGA-PBE | optimized geometry; ΔE_f (raw) = 339 meV/atom
1.0
9.300 0.175 -0.315
8.193 4.405 0.315
-8.699 -2.471 2.201
Re Cl
2 2
direct
0.953 0.703 0.750
0.047 0.297 0.250
0.357 0.107 0.750
0.643 0.893 0.250


TcIr3Ru | Alexandria via LeMat-Bulk | GGA-PBE | optimized geometry; formation energy = 2.0225 eV/atom
1.0
-4.154 0.002 -2.097
0.610 -4.451 -1.212
-2.007 -1.357 3.973
Tc Ir Ru
1 3 1
direct
0.000 0.000 0.000
0.000 0.000 0.500
0.000 0.500 0.000
0.500 0.000 0.000
0.500 0.500 0.500


NdDy4Ir4 | Alexandria via LeMat-Bulk | GGA-PBE | optimized geometry; formation energy = -0.6280 eV/atom
1.0
-2.286 0.946 -5.084
0.737 -8.721 -1.955
-8.169 -1.453 3.403
Dy Ir Nd
8 8 2
direct
0.893 0.594 0.832
0.607 0.906 0.668
0.393 0.668 0.094
0.607 0.094 0.332
0.107 0.832 0.406
0.107 0.168 0.594
0.893 0.406 0.168
0.393 0.332 0.906
0.606 0.784 0.365
0.394 0.635 0.784
0.394 0.365 0.216
0.894 0.284 0.865
0.106 0.135 0.284
0.106 0.865 0.716
0.606 0.216 0.635
0.894 0.716 0.135
0.000 0.000 0.000
0.500 0.500 0.500


HgPb2Br | Alexandria via LeMat-Bulk | GGA-PBE | optimized geometry; ΔE_f (raw) = -180 meV/atom
1.0
-3.370 -3.162 -4.602
5.661 -2.049 1.381
-1.405 -2.902 1.631
Br Pb Hg
1 2 1
direct
0.500 0.500 0.000
0.000 0.500 0.500
0.000 0.000 0.000
0.500 0.000 0.500


Te3C | Alexandria via LeMat-Bulk | GGA-PBE | optimized geometry; ΔE_f (raw) = 805 meV/atom
1.0
6.484 0.000 0.000
0.000 6.503 0.000
0.000 0.000 10.988
C Te
4 12
direct
0.909 0.251 0.750
0.591 0.751 0.750
0.409 0.249 0.250
0.091 0.749 0.250
0.752 0.751 0.585
0.752 0.751 0.915
0.248 0.249 0.085
0.252 0.749 0.085
0.252 0.749 0.415
0.228 0.251 0.750
0.272 0.751 0.750
0.748 0.251 0.915
0.772 0.749 0.250
0.748 0.251 0.585
0.248 0.249 0.415
0.728 0.249 0.250


ZnH6Pd12 | Alexandria via LeMat-Bulk | GGA-PBE | optimized geometry; raw total energy = -4.49 eV per atom
1.0
-5.680 1.311 3.035
2.928 -5.095 2.942
3.921 5.263 0.325
Pd Zn H
12 1 6
direct
0.693 0.877 0.184
0.511 0.822 0.691
0.877 0.184 0.693
0.178 0.309 0.489
0.123 0.816 0.307
0.184 0.693 0.877
0.691 0.511 0.822
0.307 0.123 0.816
0.309 0.489 0.178
0.489 0.178 0.309
0.816 0.307 0.123
0.822 0.691 0.511
0.000 0.000 0.000
0.643 0.855 0.455
0.545 0.357 0.145
0.357 0.145 0.545
0.855 0.455 0.643
0.145 0.545 0.357
0.455 0.643 0.855


Number 1: V 251 Å³/cell, Fermi-level density of states 0.00 states/eV per cell. Number 2: V 278 Å³/cell, Fermi-level density of states 24.74 states/eV per cell. Number 3: V 82 Å³/cell, Fermi-level density of states 8.54 states/eV per cell. Number 4: V 71 Å³/cell, Fermi-level density of states 2.74 states/eV per cell. Number 5: V 176 Å³/cell, Fermi-level density of states 13.05 states/eV per cell. Number 6: V 156 Å³/cell, Fermi-level density of states 6.80 states/eV per cell. Number 7: V 88 Å³/cell, Fermi-level density of states 1.04 states/eV per cell. Number 8: V 101 Å³/cell, Fermi-level density of states 6.83 states/eV per cell. Number 9: V 455 Å³/cell, Fermi-level density of states 10.58 states/eV per cell. Number 10: V 122 Å³/cell, Fermi-level density of states 1.00 states/eV per cell. Number 11: V 463 Å³/cell, Fermi-level density of states 12.99 states/eV per cell. Number 12: V 219 Å³/cell, Fermi-level density of states 15.20 states/eV per cell.